Model a:
The following is a DFT calculation (PBE) of a relaxed Tb5Tl2Ir crystal.

Crystal system: orthorhombic
Symmetry: Cmcm, No. 63

abc: 8.7445 8.7445 12.4815
angles: 90.00 90.00 143.30
Sites, in units of the cell vectors:
1 Tb 0.0739 0.9261 0.6019
2 Tb 0.0739 0.9261 0.8981
3 Tb 0.2936 0.7064 0.2500
4 Tb 0.2970 0.7030 0.5743
5 Tb 0.2970 0.7030 0.9257
6 Tb 0.7030 0.2970 0.0743
7 Tb 0.7030 0.2970 0.4257
8 Tb 0.7064 0.2936 0.7500
9 Tb 0.9261 0.0739 0.1019
10 Tb 0.9261 0.0739 0.3981
11 Tl 0.1171 0.8829 0.1315
12 Tl 0.1171 0.8829 0.3685
13 Tl 0.8829 0.1171 0.6315
14 Tl 0.8829 0.1171 0.8685
15 Ir 0.1918 0.8082 0.7500
16 Ir 0.8082 0.1918 0.2500

Model b:
The following is a DFT calculation (PBE) of a relaxed Tb5Tl2Ir crystal.

Crystal system: orthorhombic
Symmetry: Pbam, No. 55

abc: 7.5751 12.3602 4.7424
angles: 90.00 90.00 90.00
Sites, in units of the cell vectors:
1 Tb 0.0000 0.0000 0.0000
2 Tb 0.1373 0.2945 0.0000
3 Tb 0.1805 0.5748 0.5000
4 Tb 0.3195 0.0748 0.5000
5 Tb 0.3627 0.7945 0.0000
6 Tb 0.5000 0.5000 0.0000
7 Tb 0.6373 0.2055 0.0000
8 Tb 0.6805 0.9252 0.5000
9 Tb 0.8195 0.4252 0.5000
10 Tb 0.8627 0.7055 0.0000
11 Tl 0.0790 0.8326 0.5000
12 Tl 0.4210 0.3326 0.5000
13 Tl 0.5790 0.6674 0.5000
14 Tl 0.9210 0.1674 0.5000
15 Ir 0.0000 0.5000 0.0000
16 Ir 0.5000 0.0000 0.0000

The structure with the least stability is model a.

Model a:
The following is a DFT calculation (PBE) of a relaxed Tb6Tl2Ir crystal.

Crystal system: monoclinic
Symmetry: P2_1/c, No. 14

abc: 7.0184 7.4187 12.5336
angles: 90.00 123.07 90.00
Sites, in units of the cell vectors:
1 Tb 0.1442 0.1948 0.4643
2 Tb 0.1442 0.3052 0.9643
3 Tb 0.2719 0.6853 0.4615
4 Tb 0.2719 0.8147 0.9615
5 Tb 0.3363 0.0066 0.2466
6 Tb 0.3363 0.4934 0.7466
7 Tb 0.6637 0.5066 0.2534
8 Tb 0.6637 0.9934 0.7534
9 Tb 0.7281 0.1853 0.0385
10 Tb 0.7281 0.3147 0.5385
11 Tb 0.8558 0.6948 0.0357
12 Tb 0.8558 0.8052 0.5357
13 Tl 0.2124 0.0772 0.7486
14 Tl 0.2124 0.4228 0.2486
15 Tl 0.7876 0.5772 0.7514
16 Tl 0.7876 0.9228 0.2514
17 Ir 0.5000 0.0000 0.5000
18 Ir 0.5000 0.5000 0.0000

Model b:
The following is a DFT calculation (PBE) of a relaxed Tb6Tl2Ir crystal.

Crystal system: orthorhombic
Symmetry: Amm2, No. 38

abc: 3.8756 8.6609 8.6609
angles: 119.45 90.00 90.00
Sites, in units of the cell vectors:
1 Tb 0.0000 0.0000 0.0000
2 Tb 0.0000 0.5145 0.7505
3 Tb 0.0000 0.7505 0.5145
4 Tb 0.5000 0.1431 0.7525
5 Tb 0.5000 0.3566 0.3566
6 Tb 0.5000 0.7525 0.1431
7 Tl 0.0000 0.0847 0.4210
8 Tl 0.0000 0.4210 0.0847
9 Ir 0.5000 0.7647 0.7647

The structure with the least stability is model a.